# ScBi3Mo | Alexandria via LeMat-Bulk | PBE | optimized geometry
data_ScBi3Mo
_chemical_formula_sum 'Sc1 Bi3 Mo1'
_symmetry_space_group_name_H-M 'P m -3 m'
_symmetry_Int_Tables_number 221
_symmetry_space_group_name_Hall '-P 4 2 3'
_cell_length_a 5.5449
_cell_length_b 5.5449
_cell_length_c 5.5449
_cell_angle_alpha 90.00
_cell_angle_beta 90.00
_cell_angle_gamma 90.00
loop_
_atom_site_label
_atom_site_fract_x
_atom_site_fract_y
_atom_site_fract_z
Sc1 0.0000 0.0000 0.0000
Bi1 0.0000 0.0000 0.5000
Mo1 0.5000 0.5000 0.5000
# ρ (g/cm3): 7.5
# Energy above the most stable polymorph in this dataset (meV/atom): 294
# Energy of formation from the pure elements (eV per atom): 0.95
# Raw total energy (eV/atom): -4.8130
# V (Å³/cell): 170.5


# SrLiCl2 | Alexandria via LeMat-Bulk | PBE | optimized geometry
data_SrLiCl2
_chemical_formula_sum 'Sr2 Li2 Cl4'
_symmetry_space_group_name_H-M 'I m m 2'
_symmetry_Int_Tables_number 44
_symmetry_space_group_name_Hall 'I 2 -2'
_cell_length_a 3.7583
_cell_length_b 4.3849
_cell_length_c 14.4371
_cell_angle_alpha 90.00
_cell_angle_beta 90.00
_cell_angle_gamma 90.00
loop_
_atom_site_label
_atom_site_fract_x
_atom_site_fract_y
_atom_site_fract_z
Sr1 0.0000 0.0000 0.0000
Li1 0.0000 0.5000 0.2428
Cl1 0.0000 0.0000 0.4628
Cl2 0.0000 0.5000 0.6646
# Formation energy without anion corrections (eV/atom): -1.50
# ρ (g/cm3): 2.3
# Energy above the most stable polymorph in this dataset (meV/atom): 144
# Raw total energy (eV/atom): -3.3264
# V (Å³/cell): 237.9


# PrGdGeAu | Alexandria via LeMat-Bulk | PBE | optimized geometry
data_PrGdGeAu
_chemical_formula_sum 'Pr4 Gd4 Ge4 Au4'
_symmetry_space_group_name_H-M 'F -4 3 m'
_symmetry_Int_Tables_number 216
_symmetry_space_group_name_Hall 'F -4 2 3'
_cell_length_a 7.3666
_cell_length_b 7.3666
_cell_length_c 7.3666
_cell_angle_alpha 90.00
_cell_angle_beta 90.00
_cell_angle_gamma 90.00
loop_
_atom_site_label
_atom_site_fract_x
_atom_site_fract_y
_atom_site_fract_z
Pr1 0.0000 0.0000 0.0000
Gd1 0.0000 0.0000 0.5000
Ge1 0.2500 0.2500 0.2500
Au1 0.2500 0.2500 0.7500
# ρ (g/cm3): 9.4
# Energy of formation from the pure elements (eV per atom): -0.74
# Raw total energy (eV/atom): -7.4299
# V (Å³/cell): 399.8


# CdGaTcO6 | Alexandria via LeMat-Bulk | PBE | optimized geometry
data_CdGaTcO6
_chemical_formula_sum 'Cd2 Ga2 Tc2 O12'
_symmetry_space_group_name_H-M 'P -3 1 c'
_symmetry_Int_Tables_number 163
_symmetry_space_group_name_Hall '-P 3 2c'
_cell_length_a 5.1660
_cell_length_b 5.1660
_cell_length_c 9.6600
_cell_angle_alpha 90.00
_cell_angle_beta 90.00
_cell_angle_gamma 120.00
loop_
_atom_site_label
_atom_site_fract_x
_atom_site_fract_y
_atom_site_fract_z
Cd1 0.0000 0.0000 0.0000
Ga1 0.3333 0.6667 0.2500
Tc1 0.3333 0.6667 0.7500
O1 0.0126 0.3774 0.6401
# Formation energy without anion corrections (eV/atom): -1.28
# ρ (g/cm3): 5.6
# Raw total energy (eV/atom): -6.1726
# V (Å³/cell): 223.3


# ScAgTe4Pb2 | Alexandria via LeMat-Bulk | PBE | optimized geometry
data_ScAgTe4Pb2
_chemical_formula_sum 'Sc1 Ag1 Te4 Pb2'
_symmetry_space_group_name_H-M 'P 1 2/m 1'
_symmetry_Int_Tables_number 10
_symmetry_space_group_name_Hall '-P 2y'
_cell_length_a 7.6774
_cell_length_b 4.3945
_cell_length_c 7.7333
_cell_angle_alpha 90.00
_cell_angle_beta 109.57
_cell_angle_gamma 90.00
loop_
_atom_site_label
_atom_site_fract_x
_atom_site_fract_y
_atom_site_fract_z
Sc1 0.0000 0.0000 0.0000
Ag1 0.5000 0.5000 0.0000
Te1 0.2334 0.5000 0.2238
Te2 0.2550 0.0000 0.7818
Pb1 0.0000 0.5000 0.5000
Pb2 0.5000 0.0000 0.5000
# Formation energy without anion corrections (eV/atom): -0.53
# ρ (g/cm3): 7.3
# Raw total energy (eV/atom): -4.1738
# V (Å³/cell): 245.8


# Y3ScO | Alexandria via LeMat-Bulk | PBE | optimized geometry
data_Y3ScO
_chemical_formula_sum 'Y3 Sc1 O1'
_symmetry_space_group_name_H-M 'P m -3 m'
_symmetry_Int_Tables_number 221
_symmetry_space_group_name_Hall '-P 4 2 3'
_cell_length_a 4.8836
_cell_length_b 4.8836
_cell_length_c 4.8836
_cell_angle_alpha 90.00
_cell_angle_beta 90.00
_cell_angle_gamma 90.00
loop_
_atom_site_label
_atom_site_fract_x
_atom_site_fract_y
_atom_site_fract_z
Y1 0.0000 0.0000 0.5000
Sc1 0.5000 0.5000 0.5000
O1 0.0000 0.0000 0.0000
# Formation energy without anion corrections (eV/atom): -1.11
# ρ (g/cm3): 4.7
# Energy above the most stable polymorph in this dataset (meV/atom): 0
# Raw total energy (eV/atom): -7.2483
# V (Å³/cell): 116.5


# Ba4InAgHg2 | Alexandria via LeMat-Bulk | PBE | optimized geometry
data_Ba4InAgHg2
_chemical_formula_sum 'Ba12 In3 Ag3 Hg6'
_symmetry_space_group_name_H-M 'R -3 m'
_symmetry_Int_Tables_number 166
_symmetry_space_group_name_Hall '-R 3 2"'
_cell_length_a 5.9523
_cell_length_b 5.9523
_cell_length_c 29.1491
_cell_angle_alpha 90.00
_cell_angle_beta 90.00
_cell_angle_gamma 120.00
loop_
_atom_site_label
_atom_site_fract_x
_atom_site_fract_y
_atom_site_fract_z
Ba1 0.0000 0.0000 0.1230
Ba2 0.0000 0.0000 0.3739
In1 0.0000 0.0000 0.5000
Ag1 0.0000 0.0000 0.0000
Hg1 0.0000 0.0000 0.2470
# ρ (g/cm3): 6.5
# Energy of formation from the pure elements (eV per atom): -0.42
# Raw total energy (eV/atom): -2.1588
# V (Å³/cell): 894.4


# Ca4CdN | Alexandria via LeMat-Bulk | PBE | optimized geometry
data_Ca4CdN
_chemical_formula_sum 'Ca16 Cd4 N4'
_symmetry_space_group_name_H-M 'C 1 2/c 1'
_symmetry_Int_Tables_number 15
_symmetry_space_group_name_Hall '-C 2yc'
_cell_length_a 8.9281
_cell_length_b 14.3680
_cell_length_c 6.3514
_cell_angle_alpha 90.00
_cell_angle_beta 121.53
_cell_angle_gamma 90.00
loop_
_atom_site_label
_atom_site_fract_x
_atom_site_fract_y
_atom_site_fract_z
Ca1 0.1343 0.1978 0.1490
Ca2 0.2051 0.0421 0.6753
Cd1 0.0000 0.3780 0.7500
N1 0.0000 0.0739 0.2500
# Formation energy without anion corrections (eV/atom): -0.41
# ρ (g/cm3): 2.7
# Energy above the most stable polymorph in this dataset (meV/atom): 64
# Raw total energy (eV/atom): -3.2853
# V (Å³/cell): 694.5


# Mg4Tc | Alexandria via LeMat-Bulk | PBE | optimized geometry
data_Mg4Tc
_chemical_formula_sum 'Mg12 Tc3'
_symmetry_space_group_name_H-M 'R -3 m'
_symmetry_Int_Tables_number 166
_symmetry_space_group_name_Hall '-R 3 2"'
_cell_length_a 3.0202
_cell_length_b 3.0202
_cell_length_c 37.2987
_cell_angle_alpha 90.00
_cell_angle_beta 90.00
_cell_angle_gamma 120.00
loop_
_atom_site_label
_atom_site_fract_x
_atom_site_fract_y
_atom_site_fract_z
Mg1 0.0000 0.0000 0.1083
Mg2 0.0000 0.0000 0.2972
Tc1 0.0000 0.0000 0.5000
# ρ (g/cm3): 3.3
# Energy above the most stable polymorph in this dataset (meV/atom): 55
# Energy of formation from the pure elements (eV per atom): 0.20
# Raw total energy (eV/atom): -3.1468
# V (Å³/cell): 294.6


# ZrSi2OsPd | Alexandria via LeMat-Bulk | PBE | optimized geometry
data_ZrSi2OsPd
_chemical_formula_sum 'Zr1 Si2 Os1 Pd1'
_symmetry_space_group_name_H-M 'P 4/m m m'
_symmetry_Int_Tables_number 123
_symmetry_space_group_name_Hall '-P 4 2'
_cell_length_a 4.8812
_cell_length_b 4.8812
_cell_length_c 4.7801
_cell_angle_alpha 90.00
_cell_angle_beta 90.00
_cell_angle_gamma 90.00
loop_
_atom_site_label
_atom_site_fract_x
_atom_site_fract_y
_atom_site_fract_z
Zr1 0.0000 0.0000 0.0000
Si1 0.0000 0.5000 0.0000
Os1 0.5000 0.5000 0.5000
Pd1 0.0000 0.0000 0.5000
# Formation energy without anion corrections (eV/atom): 1.78
# ρ (g/cm3): 6.5
# Raw total energy (eV/atom): -5.3869
# V (Å³/cell): 113.9


# SrTlBPb | Alexandria via LeMat-Bulk | PBE | optimized geometry
data_SrTlBPb
_chemical_formula_sum 'Sr2 Tl2 B2 Pb2'
_symmetry_space_group_name_H-M 'C 1 m 1'
_symmetry_Int_Tables_number 8
_symmetry_space_group_name_Hall 'C -2y'
_cell_length_a 10.8822
_cell_length_b 4.1320
_cell_length_c 5.0814
_cell_angle_alpha 90.00
_cell_angle_beta 111.52
_cell_angle_gamma 90.00
loop_
_atom_site_label
_atom_site_fract_x
_atom_site_fract_y
_atom_site_fract_z
Sr1 0.0000 0.0000 0.0000
Tl1 0.3331 0.0000 0.3311
B1 0.2132 0.5000 0.1743
Pb1 0.1569 0.5000 0.6330
# ρ (g/cm3): 8.0
# Energy above the most stable polymorph in this dataset (meV/atom): 30
# Energy of formation from the pure elements (eV per atom): 0.28
# Raw total energy (eV/atom): -3.3293
# V (Å³/cell): 212.6